Entry 1:
The following is a SCAN calculation of a PBEsol-optimized structure of CdInRe, from the Alexandria database.

CIF file:
```
data_CdInRe
_chemical_formula_sum 'Cd1 In1 Re1'
_cell_length_a 2.9428
_cell_length_b 2.9428
_cell_length_c 7.2967
_cell_angle_alpha 90.00
_cell_angle_beta 90.00
_cell_angle_gamma 120.00
_symmetry_space_group_name_H-M 'P 3 m 1'
_symmetry_Int_Tables_number 156
loop_
_symmetry_equiv_pos_as_xyz
'x,y,z'
'-y,x-y,z'
'-x+y,-x,z'
'-y,-x,z'
'-x+y,y,z'
'x,x-y,z'
loop_
_atom_site_label
_atom_site_type_symbol
_atom_site_fract_x
_atom_site_fract_y
_atom_site_fract_z
Cd1 Cd 0.0000 0.0000 0.0000
In1 In 0.3333 0.6667 0.6342
Re1 Re 0.6667 0.3333 0.3188
```

Entry 2:
The following is a SCAN calculation of a PBEsol-optimized structure of TaFe4Ru, from the Alexandria database.

CIF file:
```
data_TaFe4Ru
_chemical_formula_sum 'Ta4 Fe16 Ru4'
_cell_length_a 6.5899
_cell_length_b 6.5899
_cell_length_c 6.5899
_cell_angle_alpha 90.00
_cell_angle_beta 90.00
_cell_angle_gamma 90.00
_symmetry_space_group_name_H-M 'F -4 3 m'
_symmetry_Int_Tables_number 216
_symmetry_space_group_name_Hall 'F -4 2 3'
loop_
_atom_site_label
_atom_site_type_symbol
_atom_site_fract_x
_atom_site_fract_y
_atom_site_fract_z
Ta1 Ta 0.0000 0.0000 0.0000
Fe1 Fe 0.1249 0.1249 0.3751
Ru1 Ru 0.2500 0.2500 0.7500
```

These records have ρ values of 12.55 11.73 g/cm³, in the order they appear.
These records have formation enthalpy at 0 K values of 0.639 -0.059 eV/atom, in the order they appear.